No. 1
The following is a GGA-PBE calculation of a relaxed structure of NdSc3Pt2, from the Alexandria database.

Unit cell a=4.5508 b=8.5363 c=6.8512 alpha=90.00 beta=90.00 gamma=90.00
Space group Pmc2_1 (No. 26)
Asymmetric unit:
1 Nd 0.0000 0.0722 0.0000 (multiplicity 2)
2 Sc 0.0000 0.3382 0.6325 (multiplicity 2)
3 Sc 0.5000 0.1928 0.3457 (multiplicity 2)
4 Sc 0.5000 0.4284 0.9720 (multiplicity 2)
5 Pt 0.0000 0.3553 0.2397 (multiplicity 2)
6 Pt 0.5000 0.1654 0.7333 (multiplicity 2)

Properties
- Calculated total energy: -0.5082 Ry/atom


No. 2
The following is a GGA-PBE calculation of a relaxed structure of NdSc4Pt5, from the Alexandria database.

Unit cell a=3.3406 b=3.3406 c=16.9692 alpha=90.00 beta=90.00 gamma=90.00
Space group P4/mmm (No. 123)
Asymmetric unit:
1 Nd 0.0000 0.0000 0.0000 (multiplicity 1)
2 Sc 0.0000 0.0000 0.2127 (multiplicity 2)
3 Sc 0.0000 0.0000 0.4051 (multiplicity 2)
4 Pt 0.5000 0.5000 0.1262 (multiplicity 2)
5 Pt 0.5000 0.5000 0.3124 (multiplicity 2)
6 Pt 0.5000 0.5000 0.5000 (multiplicity 1)

Properties
- Calculated total energy: -0.5312 Ry/atom


No. 3
The following is a GGA-PBE calculation of a relaxed structure of Nd2ScPt2, from the Alexandria database.

Unit cell a=12.7249 b=3.9992 c=11.2395 alpha=90.00 beta=120.18 gamma=90.00
Space group C2/m (No. 12)
Asymmetric unit:
1 Nd 0.0366 0.0000 0.1896 (multiplicity 4)
2 Nd 0.1672 0.0000 0.5876 (multiplicity 4)
3 Sc 0.2091 0.5000 0.8686 (multiplicity 4)
4 Pt 0.0063 0.5000 0.3734 (multiplicity 4)
5 Pt 0.1324 0.5000 0.0595 (multiplicity 4)

Properties
- Offset from the most stable computed form: 0.0 meV/atom


No. 4
The following is a GGA-PBE calculation of a relaxed structure of Nd2Sc3Pt4, from the Alexandria database.

Unit cell a=6.4392 b=16.6113 c=7.3386 alpha=90.00 beta=90.00 gamma=90.00
Space group Cmce (No. 64)
Asymmetric unit:
1 Nd 0.0000 0.0983 0.0890 (multiplicity 8)
2 Sc 0.0000 0.0000 0.5000 (multiplicity 4)
3 Sc 0.2500 0.2304 0.7500 (multiplicity 8)
4 Pt 0.0000 0.1728 0.4653 (multiplicity 8)
5 Pt 0.2500 0.0637 0.7500 (multiplicity 8)

Properties
- Offset from the most stable computed form: 109.6 meV/atom


No. 5
The following is a GGA-PBE calculation of a relaxed structure of NdSc2Pt2, from the Alexandria database.

Unit cell a=4.4165 b=4.4165 c=11.6314 alpha=90.00 beta=90.00 gamma=90.00
Space group I4/mmm (No. 139)
Asymmetric unit:
1 Nd 0.0000 0.0000 0.0000 (multiplicity 2)
2 Sc 0.0000 0.5000 0.2500 (multiplicity 4)
3 Pt 0.0000 0.0000 0.3846 (multiplicity 4)

Properties
- Calculated total energy: -0.5080 Ry/atom


No. 6
The following is a GGA-PBE calculation of a relaxed structure of Nd2ScPt2, from the Alexandria database.

Unit cell a=7.9401 b=11.0254 c=5.9987 alpha=90.00 beta=90.00 gamma=90.00
Space group Ibam (No. 72)
Asymmetric unit:
1 Nd 0.1423 0.1564 0.0000 (multiplicity 8)
2 Sc 0.0000 0.5000 0.2500 (multiplicity 4)
3 Pt 0.2424 0.0970 0.5000 (multiplicity 8)

Properties
- Offset from the most stable computed form: 90.8 meV/atom


No. 7
The following is a GGA-PBE calculation of a relaxed structure of Nd2Sc3Pt4, from the Alexandria database.

Unit cell a=7.3016 b=7.3701 c=7.7433 alpha=90.00 beta=110.32 gamma=90.00
Space group P2_1/c (No. 14)
Asymmetric unit:
1 Nd 0.1934 0.1726 0.0757 (multiplicity 4)
2 Sc 0.2511 0.6574 0.2482 (multiplicity 4)
3 Sc 0.5000 0.0000 0.5000 (multiplicity 2)
4 Pt 0.0939 0.5488 0.8653 (multiplicity 4)
5 Pt 0.4938 0.6412 0.6243 (multiplicity 4)

Properties
- Offset from the most stable computed form: 0.0 meV/atom


No. 8
The following is a GGA-PBE calculation of a relaxed structure of Nd5Sc4Pt4, from the Alexandria database.

Unit cell a=12.8136 b=12.8136 c=3.9810 alpha=90.00 beta=90.00 gamma=90.00
Space group I4/m (No. 87)
Asymmetric unit:
1 Nd 0.0000 0.0000 0.0000 (multiplicity 2)
2 Nd 0.1332 0.8117 0.5000 (multiplicity 8)
3 Sc 0.0898 0.3910 0.5000 (multiplicity 8)
4 Pt 0.0508 0.2562 0.0000 (multiplicity 8)

Properties
- Calculated total energy: -0.4707 Ry/atom


Number 1: Fermi-level density of states 10.668 states/eV/cell, magnetic moment 0.000 μB/f.u.. Number 2: Fermi-level density of states 6.163 states/eV/cell, magnetic moment 0.000 μB/f.u.. Number 3: Fermi-level density of states 16.540 states/eV/cell, magnetic moment 0.000 μB/f.u.. Number 4: Fermi-level density of states 34.680 states/eV/cell, magnetic moment 0.000 μB/f.u.. Number 5: Fermi-level density of states 12.932 states/eV/cell, magnetic moment 0.000 μB/f.u.. Number 6: Fermi-level density of states 13.591 states/eV/cell, magnetic moment 0.000 μB/f.u.. Number 7: Fermi-level density of states 12.525 states/eV/cell, magnetic moment 0.000 μB/f.u.. Number 8: Fermi-level density of states 29.111 states/eV/cell, magnetic moment 0.000 μB/f.u..